[1]
Compound: Tl2Hg2Cl
Source: Alexandria
Functional: GGA-PBEsol
Structure: relaxed

total moment = 0.0 μB per cell
total DFT energy (no corrections) = -1.953 eV/atom

a b c (Å): 4.1688 8.2123 8.2123
angles (deg): 90.00 90.00 90.00
Closest atoms and distances in Å follow each position.
Sites, in units of the cell vectors:
Cl: 0.0000 0.5000 0.5000  4 Tl 3.02
Cl: 0.0000 0.0000 0.0000  4 Tl 3.02
Tl: 0.0000 0.1777 0.3223  2 Cl 3.02, 6 Hg 3.04-3.31
Tl: 0.0000 0.8223 0.6777  2 Cl 3.02, 6 Hg 3.04-3.31
Tl: 0.0000 0.3223 0.8223  2 Cl 3.02, 6 Hg 3.04-3.31
Tl: 0.0000 0.6777 0.1777  2 Cl 3.02, 6 Hg 3.04-3.31
Hg: 0.5000 0.3688 0.1312  6 Tl 3.04-3.31, 1 Hg 3.05
Hg: 0.5000 0.8688 0.3688  6 Tl 3.04-3.31, 1 Hg 3.05
Hg: 0.5000 0.1312 0.6312  6 Tl 3.04-3.31, 1 Hg 3.05
Hg: 0.5000 0.6312 0.8688  6 Tl 3.04-3.31, 1 Hg 3.05

***

[2]
Compound: ZnFeCo
Source: Alexandria
Functional: GGA-PBEsol
Structure: relaxed

total moment = 4.0 μB per cell
DFT formation energy = 16 meV per atom
energy above the lowest structure with this stoichiometry = 13 meV per atom
total DFT energy (no corrections) = -6.078 eV/atom

a b c (Å): 2.4794 4.0043 4.0043
angles (deg): 120.00 90.00 90.00
Closest atoms and distances in Å follow each position.
Sites, in units of the cell vectors:
Zn: 0.3268 0.3333 0.6667  2 Zn 2.48, 3 Co 2.48, 6 Fe 2.50-2.77
Co: 0.9637 0.0000 0.0000  3 Fe 2.40, 2 Co 2.48, 3 Zn 2.48
Fe: 0.7094 0.6667 0.3333  3 Co 2.40, 2 Fe 2.48, 3 Zn 2.50

***

- Number 1 is which compound?
  Tl2Hg2Cl

***

- Which of these has the highest total DFT energy (no corrections)?
  Tl2Hg2Cl

***

- Which value of total moment does entry 1 give?
  0.0 μB per cell